[1]
Tb2SmSn2 (PBE, relaxed); crystal system = orthorhombic; energy of formation from the pure elements = -40 kJ/mol of atoms
1.0
-2.6632 3.6758 -3.2261
3.1121 -2.3630 -5.2615
-7.6704 -4.2728 1.4638
Tb Sn Sm
4 4 2
direct
0.2500 0.2008 0.4015
0.7500 0.7992 0.5985
0.2500 0.5766 0.1532
0.7500 0.4234 0.8468
0.2500 0.1270 0.7258
0.7500 0.4012 0.2742
0.2500 0.5988 0.7258
0.7500 0.8730 0.2742
0.5000 0.0000 0.0000
0.0000 0.0000 0.0000

***

[2]
TbSmSn (PBE, relaxed); crystal system = orthorhombic; energy of formation from the pure elements = -53 kJ/mol of atoms
1.0
-3.2653 3.5046 0.7533
-3.0374 -3.0357 0.9571
4.3012 0.6384 15.6745
Sn Tb Sm
4 4 4
direct
0.7500 0.9977 0.1039
0.2500 0.4977 0.3961
0.2500 0.0023 0.8961
0.7500 0.5023 0.6039
0.7500 0.4974 0.2516
0.2500 0.9974 0.2484
0.2500 0.5026 0.7484
0.7500 0.0026 0.7516
0.7500 0.9973 0.4258
0.2500 0.4973 0.0742
0.2500 0.0027 0.5742
0.7500 0.5027 0.9258

***

[3]
TbSm2Sn9 (PBE, relaxed); crystal system = tetragonal; energy of formation from the pure elements = -45 kJ/mol of atoms
1.0
-4.2270 -1.1195 1.7560
1.8096 -3.9408 1.8438
3.1515 7.1206 12.1259
Tb Sn Sm
1 9 2
direct
0.0000 0.0000 0.0000
0.0000 0.5000 0.8354
0.5000 0.5000 0.0000
0.5000 0.5000 0.6678
0.5000 0.0000 0.8354
0.5000 0.5000 0.3322
0.0000 0.5000 0.1646
0.5000 0.0000 0.5000
0.5000 0.0000 0.1646
0.0000 0.5000 0.5000
0.0000 0.0000 0.6672
0.0000 0.0000 0.3328

***

[4]
TbSm2Sn (PBE, relaxed); crystal system = tetragonal; energy of formation from the pure elements = -42 kJ/mol of atoms
1.0
4.8991 0.0000 0.0000
0.0000 4.8577 0.0000
0.0000 0.0000 4.8577
Sm Sn Tb
2 1 1
direct
0.0000 0.0000 0.5000
0.0000 0.5000 0.0000
0.5000 0.0000 0.0000
0.5000 0.5000 0.5000

***

[5]
TbSmSnTe (PBE, relaxed); crystal system = trigonal
1.0
4.4334 0.0000 0.0000
2.2167 3.8394 0.0000
2.2167 1.2798 7.2957
Tb Sm Te Sn
1 1 1 1
direct
0.4405 0.4405 0.6786
0.9479 0.9479 0.1563
0.1925 0.1925 0.4225
0.6955 0.6955 0.9134

***

[6]
TbSmTlSn (PBE, relaxed); crystal system = orthorhombic; energy of formation from the pure elements = -54 kJ/mol of atoms
1.0
-3.1241 -3.3902 -0.1516
3.1518 -2.8596 -1.0018
2.4140 0.6578 5.7173
Sm Tl Sn Tb
1 1 1 1
direct
0.8653 0.5000 0.7306
0.4089 0.0000 0.8177
0.5899 0.5000 0.1798
0.1359 0.0000 0.2718

***

Result set for energy: -48.116; -59.958; -55.647; -19.820; -20.812; -17.951 eV for the cell shown, one per record in the order listed.
Result set for Fermi-level density of states: 8.5; 8.8; 8.1; 4.1; 1.4; 3.7 states/eV/cell, one per record in the order listed.